[1]
# BaPd2Au

Crystalline BaPd2Au at its relaxed geometry (GGA-PBE, Alexandria via LeMat-Bulk).

Geometry as POSCAR:
```
BaPd2Au
1.0
-2.8696 -2.6491 3.1234
0.3809 0.6898 4.9383
-3.7022 2.2428 2.5042
Pd Au Ba
2 1 1
direct
0.2500 0.2500 0.2500
0.7500 0.7500 0.7500
0.5000 0.5000 0.5000
0.0000 0.0000 0.0000
```

Distance to the lowest polymorph of the same formula ... 265.0 meV per atom
Energy of formation from the pure elements ... -0.24 eV per atom
Total magnetic moment ... 0.000 μB/cell
Calculated volume ... 88.4 Å³/cell
N(E_F) ... 1.50 states/eV/f.u.

[2]
# BaPd2Au4

Crystalline BaPd2Au4 at its relaxed geometry (GGA-PBE, Alexandria via LeMat-Bulk).

Geometry as POSCAR:
```
BaPd2Au4
1.0
-6.0433 2.2047 0.8865
2.3728 -5.7666 1.8120
3.4100 4.0383 3.7724
Au Ba Pd
4 1 2
direct
0.5000 0.2689 0.7689
0.2689 0.5000 0.7689
0.5000 0.7311 0.2311
0.7311 0.5000 0.2311
0.0000 0.0000 0.0000
0.7500 0.2500 0.5000
0.2500 0.7500 0.5000
```

Distance to the lowest polymorph of the same formula ... 335.6 meV per atom
Energy of formation from the pure elements ... -0.03 eV per atom
Total magnetic moment ... 0.000 μB/cell
Calculated volume ... 195.5 Å³/cell
N(E_F) ... 2.12 states/eV/f.u.

[3]
# BaPdAu2

Crystalline BaPdAu2 at its relaxed geometry (GGA-PBE, Alexandria via LeMat-Bulk).

Geometry as POSCAR:
```
BaPdAu2
1.0
-1.1743 3.9957 -1.9022
-4.7756 -3.2750 1.5790
0.0244 3.3595 7.0416
Au Pd Ba
4 2 2
direct
0.6597 0.3193 0.4373
0.3403 0.6807 0.9373
0.6597 0.3193 0.0627
0.3403 0.6807 0.5627
0.7772 0.5543 0.7500
0.2228 0.4457 0.2500
0.0609 0.1219 0.7500
0.9391 0.8781 0.2500
```

Distance to the lowest polymorph of the same formula ... 0.8 meV per atom
Energy of formation from the pure elements ... -0.52 eV per atom
Total magnetic moment ... 0.000 μB/cell
Calculated volume ... 198.2 Å³/cell
N(E_F) ... 1.49 states/eV/f.u.

[4]
# Ba4Pd3Au

Crystalline Ba4Pd3Au at its relaxed geometry (GGA-PBE, Alexandria via LeMat-Bulk).

Geometry as POSCAR:
```
Ba4Pd3Au
1.0
4.4799 0.0000 0.0000
0.0000 4.8081 0.0000
0.0000 0.0000 12.0256
Ba Pd Au
4 3 1
direct
0.0000 0.5000 0.8562
0.5000 0.5000 0.3682
0.5000 0.0000 0.6355
0.0000 0.0000 0.1389
0.0000 0.0000 0.4287
0.5000 0.0000 0.9288
0.0000 0.5000 0.5722
0.5000 0.5000 0.0714
```

Energy of formation from the pure elements ... -0.59 eV per atom
Total magnetic moment ... 0.000 μB/cell
Calculated volume ... 259.0 Å³/cell
N(E_F) ... 3.49 states/eV/f.u.

[5]
# Ba2Pd3Au

Crystalline Ba2Pd3Au at its relaxed geometry (GGA-PBE, Alexandria via LeMat-Bulk).

Geometry as POSCAR:
```
Ba2Pd3Au
1.0
5.1887 -0.1582 -2.7261
-3.3005 4.8400 -0.2468
-0.2880 0.0993 5.7461
Pd Ba Au
3 2 1
direct
0.5000 0.5000 0.5000
0.0000 0.0000 0.5000
0.5000 0.0000 0.5000
0.2507 0.6253 0.8760
0.7493 0.3747 0.1240
0.0000 0.0000 0.0000
```

Energy of formation from the pure elements ... -0.58 eV per atom
Total magnetic moment ... 0.000 μB/cell
Calculated volume ... 138.5 Å³/cell
N(E_F) ... 3.58 states/eV/f.u.

[6]
# Ba3Pd3Au

Crystalline Ba3Pd3Au at its relaxed geometry (GGA-PBE, Alexandria via LeMat-Bulk).

Geometry as POSCAR:
```
Ba3Pd3Au
1.0
4.5921 0.0000 0.6917
2.2985 5.9129 0.3297
-0.0137 -0.5550 15.6791
Ba Pd Au
6 6 2
direct
0.7630 0.6989 0.7750
0.2370 0.3011 0.2250
0.4224 0.7519 0.4032
0.5776 0.2481 0.5968
0.5968 0.7305 0.0758
0.4032 0.2695 0.9242
0.8902 0.1450 0.0746
0.0505 0.1211 0.7779
0.8869 0.6651 0.5611
0.9495 0.8789 0.2221
0.1131 0.3349 0.4389
0.1098 0.8550 0.9254
0.2652 0.8406 0.6291
0.7348 0.1594 0.3709
```

Energy of formation from the pure elements ... -0.56 eV per atom
Total magnetic moment ... 0.000 μB/cell
Calculated volume ... 425.7 Å³/cell
N(E_F) ... 2.59 states/eV/f.u.

[7]
# Ba4Pd2Au

Crystalline Ba4Pd2Au at its relaxed geometry (GGA-PBE, Alexandria via LeMat-Bulk).

Geometry as POSCAR:
```
Ba4Pd2Au
1.0
8.1526 0.0000 -2.9356
-4.0527 7.1030 -2.8647
-0.0472 0.0000 8.6649
Ba Pd Au
8 4 2
direct
0.1315 0.3818 0.3829
0.0011 0.6182 0.7497
0.6185 0.7514 0.5003
0.6171 0.7486 0.9989
0.2503 0.2514 0.8685
0.1329 0.8818 0.3815
0.7489 0.2486 0.8671
0.4997 0.1182 0.2511
0.5040 0.3790 0.6250
0.3750 0.8790 0.7540
0.8750 0.1210 0.4960
0.2460 0.6210 0.1250
0.0000 0.0000 0.0000
0.7500 0.5000 0.2500
```

Distance to the lowest polymorph of the same formula ... 0.0 meV per atom
Energy of formation from the pure elements ... -0.53 eV per atom
Total magnetic moment ... 0.000 μB/cell
Calculated volume ... 500.8 Å³/cell
N(E_F) ... 4.19 states/eV/f.u.

[8]
# Ba2Pd5Au5

Crystalline Ba2Pd5Au5 at its relaxed geometry (GGA-PBE, Alexandria via LeMat-Bulk).

Geometry as POSCAR:
```
Ba2Pd5Au5
1.0
4.4866 0.0000 0.0000
0.0000 5.7362 0.0000
0.0000 0.0000 9.9894
Ba Pd Au
2 5 5
direct
0.0000 0.0000 0.5000
0.0000 0.5000 0.0000
0.5000 0.2512 0.7495
0.5000 0.5000 0.5000
0.5000 0.2512 0.2505
0.5000 0.7488 0.2505
0.5000 0.7488 0.7495
0.0000 0.0000 0.1736
0.0000 0.5000 0.3333
0.0000 0.0000 0.8264
0.5000 0.0000 0.0000
0.0000 0.5000 0.6667
```

Energy of formation from the pure elements ... -0.49 eV per atom
Total magnetic moment ... 0.000 μB/cell
Calculated volume ... 257.1 Å³/cell
N(E_F) ... 3.80 states/eV/f.u.

[9]
# Ba12Pd5Au

Crystalline Ba12Pd5Au at its relaxed geometry (GGA-PBE, Alexandria via LeMat-Bulk).

Geometry as POSCAR:
```
Ba12Pd5Au
1.0
7.9731 0.0000 -0.0025
3.9865 7.0929 -0.0013
-0.0108 0.0000 15.1851
Ba Pd Au
12 5 1
direct
0.1695 0.3334 0.3865
0.3461 0.0000 0.1165
0.1641 0.0000 0.6145
0.8305 0.6666 0.6135
0.9968 0.3425 0.8840
0.3393 0.6575 0.8840
0.0032 0.6575 0.1160
0.6607 0.3425 0.1160
0.8359 0.0000 0.3855
0.6539 0.0000 0.8835
0.4971 0.3334 0.6135
0.5029 0.6666 0.3865
0.5000 0.0000 0.5000
0.6664 0.6672 0.0000
0.1662 0.6675 0.5000
0.8338 0.3325 0.5000
0.3336 0.3328 0.0000
0.0000 0.0000 0.0000
```

Energy of formation from the pure elements ... -0.44 eV per atom
Total magnetic moment ... 0.000 μB/cell
Calculated volume ... 858.8 Å³/cell
N(E_F) ... 7.70 states/eV/f.u.

[10]
# Ba6PdAu2

Crystalline Ba6PdAu2 at its relaxed geometry (GGA-PBE, Alexandria via LeMat-Bulk).

Geometry as POSCAR:
```
Ba6PdAu2
1.0
-2.1019 7.1921 1.5351
-6.6525 -2.7758 3.8964
7.2018 -0.4516 11.9768
Au Ba Pd
4 12 2
direct
0.4996 0.0002 0.8248
0.5004 0.9998 0.1752
0.0004 0.5002 0.3248
0.9996 0.4998 0.6752
0.2722 0.1713 0.0002
0.7722 0.3287 0.4998
0.2395 0.1649 0.6614
0.7605 0.8351 0.3386
0.2605 0.6649 0.1614
0.2278 0.6713 0.5002
0.7278 0.8287 0.9998
0.2607 0.6646 0.8383
0.7607 0.8354 0.6617
0.7393 0.3354 0.1617
0.7395 0.3351 0.8386
0.2393 0.1646 0.3383
0.5000 0.5000 0.0000
0.0000 0.0000 0.5000
```

Distance to the lowest polymorph of the same formula ... 0.0 meV per atom
Energy of formation from the pure elements ... -0.49 eV per atom
Total magnetic moment ... 0.000 μB/cell
Calculated volume ... 876.3 Å³/cell
N(E_F) ... 5.99 states/eV/f.u.

[11]
# BaPd2Au3

Crystalline BaPd2Au3 at its relaxed geometry (GGA-PBE, Alexandria via LeMat-Bulk).

Geometry as POSCAR:
```
BaPd2Au3
1.0
5.6217 0.0000 0.0000
0.0000 6.8327 -1.7131
0.0000 0.6379 7.0152
Ba Pd Au
2 4 6
direct
0.7500 0.6899 0.6899
0.2500 0.3101 0.3101
0.0000 0.2210 0.7790
0.0000 0.7790 0.2210
0.5000 0.2210 0.7790
0.5000 0.7790 0.2210
0.2500 0.9302 0.5409
0.7500 0.4591 0.0698
0.7500 0.0698 0.4591
0.7500 0.0596 0.0596
0.2500 0.5409 0.9302
0.2500 0.9404 0.9404
```

Energy of formation from the pure elements ... -0.42 eV per atom
Total magnetic moment ... 0.000 μB/cell
Calculated volume ... 275.6 Å³/cell
N(E_F) ... 2.92 states/eV/f.u.

[12]
# BaPd2Au

Crystalline BaPd2Au at its relaxed geometry (GGA-PBE, Alexandria via LeMat-Bulk).

Geometry as POSCAR:
```
BaPd2Au
1.0
4.9096 0.0000 0.0000
0.0000 4.9096 0.0000
2.4548 2.4548 9.3897
Au Ba Pd
2 2 4
direct
0.7500 0.2500 0.5000
0.0000 0.0000 0.0000
0.5000 0.5000 0.0000
0.2500 0.7500 0.5000
0.7956 0.1250 0.2500
0.8750 0.0456 0.7500
0.3750 0.2044 0.7500
0.9544 0.6250 0.2500
```

Distance to the lowest polymorph of the same formula ... 187.1 meV per atom
Energy of formation from the pure elements ... -0.32 eV per atom
Total magnetic moment ... 0.000 μB/cell
Calculated volume ... 226.3 Å³/cell
N(E_F) ... 1.58 states/eV/f.u.